## Sm2Ga5Ni4 (PBE)

Data for a geometry-optimized Sm2Ga5Ni4 structure.

- D(E_F): 0.337 states/eV/atom
- Formation enthalpy at 0 K: -5.9 eV per formula unit

a = 8.9030 Å, b = 8.1025 Å, c = 5.2649 Å
α = 80.48°, β = 63.84°, γ = 35.68°
Last column: nearest neighbours and their distance in Å.
Element x y z (fractional)
Sm  0.1326  0.1326  0.8674  6 Ni 3.01-3.13, 10 Ga 3.19-3.34
Sm  0.8674  0.8674  0.1326  6 Ni 3.01-3.13, 10 Ga 3.19-3.34
Ga  0.0000  0.0000  0.5000  4 Ni 2.55, 4 Ga 2.63-2.66
Ga  0.2500  0.2500  0.2500  4 Ni 2.41, 2 Ga 2.66
Ga  0.5000  0.5000  0.0000  4 Ni 2.55, 4 Ga 2.63-2.66
Ga  0.5000  0.5000  0.5000  4 Ni 2.45, 4 Ga 2.63
Ga  0.7500  0.7500  0.7500  4 Ni 2.41, 2 Ga 2.66
Ni  0.2134  0.5252  0.4748  5 Ga 2.41-2.55
Ni  0.4748  0.7866  0.2134  5 Ga 2.41-2.55
Ni  0.5252  0.2134  0.7866  5 Ga 2.41-2.55
Ni  0.7866  0.4748  0.5252  5 Ga 2.41-2.55

***

## Sm2Ga2Ni3 (PBE)

Data for a geometry-optimized Sm2Ga2Ni3 structure.

- D(E_F): 0.715 states/eV/atom
- Formation enthalpy at 0 K: -3.6 eV per formula unit

a = 9.1840 Å, b = 9.1840 Å, c = 6.9287 Å
α = 90.00°, β = 90.00°, γ = 154.54°
Last column: nearest neighbours and their distance in Å.
Element x y z (fractional)
Sm  0.0585  0.9415  0.7500  9 Ni 3.00-3.16
Sm  0.1498  0.8502  0.2500  6 Ni 2.88-3.01, 6 Ga 3.03-3.16
Sm  0.8502  0.1498  0.7500  6 Ni 2.88-3.01, 6 Ga 3.03-3.16
Sm  0.9415  0.0585  0.2500  9 Ni 3.00-3.16
Ga  0.3098  0.6902  0.0581  4 Ni 2.51-2.61, 1 Ga 2.66
Ga  0.3098  0.6902  0.4419  4 Ni 2.51-2.61, 1 Ga 2.66
Ga  0.6902  0.3098  0.5581  4 Ni 2.51-2.61, 1 Ga 2.66
Ga  0.6902  0.3098  0.9419  4 Ni 2.51-2.61, 1 Ga 2.66
Ni  0.2261  0.7739  0.7500  6 Ga 2.51-2.61
Ni  0.4419  0.5581  0.5734  2 Ni 2.32-2.45, 1 Ga 2.54
Ni  0.4419  0.5581  0.9266  2 Ni 2.32-2.45, 1 Ga 2.54
Ni  0.5581  0.4419  0.0734  2 Ni 2.32-2.45, 1 Ga 2.54
Ni  0.5581  0.4419  0.4266  2 Ni 2.32-2.45, 1 Ga 2.54
Ni  0.7739  0.2261  0.2500  6 Ga 2.51-2.61

***

## Sm3Ga6Ni5 (PBE)

Data for a geometry-optimized Sm3Ga6Ni5 structure.

- D(E_F): 0.540 states/eV/atom
- Formation enthalpy at 0 K: -7.9 eV per formula unit

a = 4.1556 Å, b = 12.6381 Å, c = 8.9740 Å
α = 90.00°, β = 90.00°, γ = 90.00°
Last column: nearest neighbours and their distance in Å.
Element x y z (fractional)
Sm  0.2500  0.0511  0.2477  8 Ga 2.94-3.16, 6 Ni 2.94-3.27
Sm  0.2500  0.4489  0.2477  8 Ga 2.94-3.16, 6 Ni 2.94-3.27
Sm  0.2500  0.7500  0.2622  6 Ni 2.88-3.13, 2 Ga 3.15
Sm  0.7500  0.2500  0.7378  6 Ni 2.88-3.13, 2 Ga 3.15
Sm  0.7500  0.5511  0.7523  8 Ga 2.94-3.16, 6 Ni 2.94-3.27
Sm  0.7500  0.9489  0.7523  8 Ga 2.94-3.16, 6 Ni 2.94-3.27
Ga  0.2500  0.0741  0.5905  4 Ni 2.52-2.73, 1 Ga 2.71
Ga  0.2500  0.2500  0.0348  4 Ni 2.49-2.64
Ga  0.2500  0.2500  0.4170  6 Ni 2.53-2.75, 2 Ga 2.71
Ga  0.2500  0.4259  0.5905  4 Ni 2.52-2.73, 1 Ga 2.71
Ga  0.2500  0.6008  0.9817  4 Ni 2.47-2.62
Ga  0.2500  0.8992  0.9817  4 Ni 2.47-2.62
Ga  0.7500  0.1008  0.0183  4 Ni 2.47-2.62
Ga  0.7500  0.3992  0.0183  4 Ni 2.47-2.62
Ga  0.7500  0.5741  0.4095  4 Ni 2.52-2.73, 1 Ga 2.71
Ga  0.7500  0.7500  0.5830  6 Ni 2.53-2.75, 2 Ga 2.71
Ga  0.7500  0.7500  0.9652  4 Ni 2.49-2.64
Ga  0.7500  0.9259  0.4095  4 Ni 2.52-2.73, 1 Ga 2.71
Ni  0.2500  0.0908  0.8704  5 Ga 2.47-2.62
Ni  0.2500  0.4092  0.8704  5 Ga 2.47-2.62
Ni  0.2500  0.6389  0.5426  5 Ga 2.53-2.73, 2 Ni 2.58-2.81
Ni  0.2500  0.7500  0.7841  2 Ni 2.58, 6 Ga 2.59-2.75
Ni  0.2500  0.8611  0.5426  5 Ga 2.53-2.73, 2 Ni 2.58-2.81
Ni  0.7500  0.1389  0.4574  5 Ga 2.53-2.73, 2 Ni 2.58-2.81
Ni  0.7500  0.2500  0.2159  2 Ni 2.58, 6 Ga 2.59-2.75
Ni  0.7500  0.3611  0.4574  5 Ga 2.53-2.73, 2 Ni 2.58-2.81
Ni  0.7500  0.5908  0.1296  5 Ga 2.47-2.62
Ni  0.7500  0.9092  0.1296  5 Ga 2.47-2.62

***

## Sm2GaNi (PBE)

Data for a geometry-optimized Sm2GaNi structure.

- D(E_F): 0.859 states/eV/atom
- Formation enthalpy at 0 K: -1.8 eV per formula unit

a = 6.0391 Å, b = 4.4152 Å, c = 7.4589 Å
α = 90.00°, β = 110.50°, γ = 90.00°
Last column: nearest neighbours and their distance in Å.
Element x y z (fractional)
Sm  0.1735  0.2500  0.4117  3 Ni 2.78-3.07, 3 Ga 3.04-3.11
Sm  0.2801  0.7500  0.0712  4 Ni 2.98-3.31, 3 Ga 2.99-3.10
Sm  0.7199  0.2500  0.9288  4 Ni 2.98-3.31, 3 Ga 2.99-3.10
Sm  0.8265  0.7500  0.5883  3 Ni 2.78-3.07, 3 Ga 3.04-3.11
Ga  0.3739  0.7500  0.7037  2 Ni 2.67, 1 Sm 2.99
Ga  0.6261  0.2500  0.2963  2 Ni 2.67, 1 Sm 2.99
Ni  0.1803  0.2500  0.7860  2 Ga 2.67, 3 Sm 2.78-2.98
Ni  0.8197  0.7500  0.2140  2 Ga 2.67, 3 Sm 2.78-2.98

***

Q: Number 3 is which compound?
A: Sm3Ga6Ni5

***

What did the fourth record say?
## Sm2GaNi (PBE)

Data for a geometry-optimized Sm2GaNi structure.

- D(E_F): 0.859 states/eV/atom
- Formation enthalpy at 0 K: -1.8 eV per formula unit

a = 6.0391 Å, b = 4.4152 Å, c = 7.4589 Å
α = 90.00°, β = 110.50°, γ = 90.00°
Last column: nearest neighbours and their distance in Å.
Element x y z (fractional)
Sm  0.1735  0.2500  0.4117  3 Ni 2.78-3.07, 3 Ga 3.04-3.11
Sm  0.2801  0.7500  0.0712  4 Ni 2.98-3.31, 3 Ga 2.99-3.10
Sm  0.7199  0.2500  0.9288  4 Ni 2.98-3.31, 3 Ga 2.99-3.10
Sm  0.8265  0.7500  0.5883  3 Ni 2.78-3.07, 3 Ga 3.04-3.11
Ga  0.3739  0.7500  0.7037  2 Ni 2.67, 1 Sm 2.99
Ga  0.6261  0.2500  0.2963  2 Ni 2.67, 1 Sm 2.99
Ni  0.1803  0.2500  0.7860  2 Ga 2.67, 3 Sm 2.78-2.98
Ni  0.8197  0.7500  0.2140  2 Ga 2.67, 3 Sm 2.78-2.98